# CeTmPdPt, optimized geometry, DFT PBE
# calculated total energy: -6.352 eV per atom
# offset from the most stable computed form: 7.7 kJ/mol of atoms
# density of states at the Fermi level: 1.73 states/eV per atom
# volume: 349.25 Å³/cell
# E_form: -0.94 eV per atom
data_CeTmPdPt
_cell_length_a 7.042
_cell_length_b 7.042
_cell_length_c 7.042
_cell_angle_alpha 90.00
_cell_angle_beta 90.00
_cell_angle_gamma 90.00
_symmetry_space_group_name_H-M 'F -4 3 m'
_symmetry_Int_Tables_number 216
_symmetry_space_group_name_Hall 'F -4 2 3'
loop_
_atom_site_label
_atom_site_type_symbol
_atom_site_fract_x
_atom_site_fract_y
_atom_site_fract_z
Ce1 Ce 0.000 0.000 0.000
Tm1 Tm 0.000 0.000 0.500
Pd1 Pd 0.250 0.250 0.750
Pt1 Pt 0.250 0.250 0.250

# CeTmPdPt, optimized geometry, DFT PBE
# calculated total energy: -6.431 eV per atom
# offset from the most stable computed form: 0.0 kJ/mol of atoms
# density of states at the Fermi level: 1.49 states/eV per atom
# volume: 179.69 Å³/cell
# E_form: -1.02 eV per atom
data_CeTmPdPt
_cell_length_a 4.569
_cell_length_b 3.712
_cell_length_c 10.595
_cell_angle_alpha 90.00
_cell_angle_beta 90.00
_cell_angle_gamma 90.00
_symmetry_space_group_name_H-M 'A m m 2'
_symmetry_Int_Tables_number 38
loop_
_symmetry_equiv_pos_as_xyz
'x,y,z'
'-x,-y,z'
'-x,y,z'
'x,-y,z'
'x,y+1/2,z+1/2'
'-x,-y+1/2,z+1/2'
'-x,y+1/2,z+1/2'
'x,-y+1/2,z+1/2'
loop_
_atom_site_label
_atom_site_type_symbol
_atom_site_fract_x
_atom_site_fract_y
_atom_site_fract_z
Ce1 Ce 0.000 0.000 0.000
Tm1 Tm 0.500 0.000 0.274
Pd1 Pd 0.500 0.000 0.548
Pt1 Pt 0.000 0.000 0.728

# Ce2Zn2PdPt5, optimized geometry, DFT PBE
# calculated total energy: -5.696 eV per atom
# density of states at the Fermi level: 1.05 states/eV per atom
# volume: 358.18 Å³/cell
# E_form: -0.71 eV per atom
data_Ce2Zn2PdPt5
_cell_length_a 9.574
_cell_length_b 9.574
_cell_length_c 3.908
_cell_angle_alpha 90.00
_cell_angle_beta 90.00
_cell_angle_gamma 90.00
_symmetry_space_group_name_H-M 'P 4/m b m'
_symmetry_Int_Tables_number 127
_symmetry_space_group_name_Hall '-P 4 2ab'
loop_
_atom_site_label
_atom_site_type_symbol
_atom_site_fract_x
_atom_site_fract_y
_atom_site_fract_z
Ce1 Ce 0.180 0.320 0.000
Zn1 Zn 0.119 0.619 0.000
Pd1 Pd 0.000 0.000 0.000
Pt1 Pt 0.000 0.500 0.500
Pt2 Pt 0.065 0.795 0.500

# CeZnPdPt, optimized geometry, DFT PBE
# calculated total energy: -5.318 eV per atom
# offset from the most stable computed form: 8.1 kJ/mol of atoms
# density of states at the Fermi level: 0.95 states/eV per atom
# volume: 305.08 Å³/cell
# E_form: -0.71 eV per atom
data_CeZnPdPt
_cell_length_a 6.732
_cell_length_b 6.732
_cell_length_c 6.732
_cell_angle_alpha 90.00
_cell_angle_beta 90.00
_cell_angle_gamma 90.00
_symmetry_space_group_name_H-M 'F -4 3 m'
_symmetry_Int_Tables_number 216
_symmetry_space_group_name_Hall 'F -4 2 3'
loop_
_atom_site_label
_atom_site_type_symbol
_atom_site_fract_x
_atom_site_fract_y
_atom_site_fract_z
Ce1 Ce 0.000 0.000 0.000
Zn1 Zn 0.000 0.000 0.500
Pd1 Pd 0.250 0.250 0.250
Pt1 Pt 0.250 0.250 0.750

Q: Which formula does entry 2 have?
A: CeTmPdPt